*one*
Entry from the Alexandria database: a geometry-optimized CaB structure (GGA-PBE).

Cell: 10.4388 10.4388 3.2112 Å, 90.00 90.00 90.00°
Space group P4/mmm (No. 123)
Symmetry-distinct sites (fractional):
Ca1 0.0000 0.3193 0.0000 [4 per cell]
Ca2 0.3372 0.3372 0.5000 [4 per cell]
B1 0.1417 0.5000 0.5000 [4 per cell]
B2 0.1808 0.5000 0.0000 [4 per cell]



*two*
Entry from the Alexandria database: a geometry-optimized CaB structure (GGA-PBE).

Cell: 7.5971 7.5971 7.5971 Å, 90.00 90.00 90.00°
Space group I-43m (No. 217)
Symmetry-distinct sites (fractional):
Ca1 0.2092 0.2092 0.7908 [8 per cell]
B1 0.0819 0.0819 0.0819 [8 per cell]



Short version: *one*, *two*, most stable first.



*one*
Entry from the Alexandria database: a geometry-optimized CaB structure (GGA-PBE).

Cell: 5.8984 5.8984 5.0512 Å, 90.00 90.00 90.00°
Space group P4_2/mnm (No. 136)
Symmetry-distinct sites (fractional):
Ca1 0.1969 0.1969 0.0000 [4 per cell]
B1 0.0919 0.0919 0.5000 [4 per cell]



*two*
Entry from the Alexandria database: a geometry-optimized CaB structure (GGA-PBE).

Cell: 9.7726 9.7726 3.2097 Å, 90.00 90.00 120.00°
Space group P6_3/mmc (No. 194)
Symmetry-distinct sites (fractional):
Ca1 0.2140 0.4280 0.2500 [6 per cell]
B1 0.0269 0.5134 0.7500 [6 per cell]



*three*
Entry from the Alexandria database: a geometry-optimized CaB structure (GGA-PBE).

Cell: 3.7094 13.6504 3.1973 Å, 90.00 90.00 90.00°
Space group Cmcm (No. 63)
Symmetry-distinct sites (fractional):
Ca1 0.0000 0.1258 0.2500 [4 per cell]
B1 0.0000 0.4865 0.2500 [4 per cell]



*four*
Entry from the Alexandria database: a geometry-optimized CaB structure (GGA-PBE).

Cell: 3.8369 3.8369 11.4855 Å, 90.00 90.00 90.00°
Space group I-4m2 (No. 119)
Symmetry-distinct sites (fractional):
Ca1 0.0000 0.0000 0.0000 [2 per cell]
Ca2 0.0000 0.5000 0.2500 [2 per cell]
B1 0.0000 0.0000 0.4326 [4 per cell]



Short version: *three*, *two*, *one*, *four*, most stable first.



*one*
Entry from the Alexandria database: a geometry-optimized CaB structure (GGA-PBE).

Cell: 8.9171 4.2653 6.0457 Å, 90.00 129.76 90.00°
Space group C2/m (No. 12)
Symmetry-distinct sites (fractional):
Ca1 0.2478 0.0000 0.2506 [4 per cell]
B1 0.0064 0.5000 0.1327 [4 per cell]



*two*
Entry from the Alexandria database: a geometry-optimized CaB structure (GGA-PBE).

Cell: 6.3777 8.8995 10.7878 Å, 90.00 90.00 90.00°
Space group Fddd (No. 70, origin choice 2)
Symmetry-distinct sites (fractional):
Ca1 0.1250 0.3315 0.1250 [16 per cell]
B1 0.0019 0.1250 0.6250 [16 per cell]



*three*
Entry from the Alexandria database: a geometry-optimized CaB structure (GGA-PBE).

Cell: 3.2697 3.2697 3.2697 Å, 90.00 90.00 90.00°
Space group Pm-3m (No. 221)
Symmetry-distinct sites (fractional):
Ca1 0.0000 0.0000 0.0000 [1 per cell]
B1 0.5000 0.5000 0.5000 [1 per cell]



Short version: *one*, *two*, *three*, most stable first.



*one*
Entry from the Alexandria database: a geometry-optimized CaB structure (GGA-PBE).

Cell: 4.5919 11.2341 5.1336 Å, 90.00 90.00 90.00°
Space group Imm2 (No. 44)
Symmetry-distinct sites (fractional):
Ca1 0.0000 0.0000 0.0000 [2 per cell]
Ca2 0.0000 0.3017 0.0954 [4 per cell]
B1 0.0000 0.3641 0.6036 [4 per cell]
B2 0.0000 0.5000 0.7056 [2 per cell]



*two*
Entry from the Alexandria database: a geometry-optimized CaB structure (GGA-PBE).

Cell: 3.3651 3.3651 22.0057 Å, 90.00 90.00 120.00°
Space group R-3m (No. 166, hexagonal axes)
Symmetry-distinct sites (fractional):
Ca1 0.0000 0.0000 0.0857 [6 per cell]
B1 0.0000 0.0000 0.3332 [6 per cell]



Short version: *two*, *one*, most stable first.



*one*
Entry from the Alexandria database: a geometry-optimized CaCdB3 structure (GGA-PBE).

Cell: 4.7365 4.7365 4.7365 Å, 90.00 90.00 90.00°
Space group Pm-3m (No. 221)
Symmetry-distinct sites (fractional):
Ca1 0.0000 0.0000 0.0000 [1 per cell]
Cd1 0.5000 0.5000 0.5000 [1 per cell]
B1 0.0000 0.0000 0.5000 [3 per cell]



*two*
Entry from the Alexandria database: a geometry-optimized CaCdB3 structure (GGA-PBE).

Cell: 4.4491 4.4491 4.4491 Å, 90.00 90.00 90.00°
Space group Pm-3m (No. 221)
Symmetry-distinct sites (fractional):
Ca1 0.0000 0.0000 0.0000 [1 per cell]
Cd1 0.5000 0.5000 0.5000 [1 per cell]
B1 0.0000 0.5000 0.5000 [3 per cell]



Short version: *two*, *one*, most stable first.



*one*
Entry from the Alexandria database: a geometry-optimized CaBCl2 structure (GGA-PBE).

Cell: 6.8905 6.8905 6.8905 Å, 90.00 90.00 90.00°
Space group Fm-3m (No. 225)
Symmetry-distinct sites (fractional):
Ca1 0.0000 0.0000 0.0000 [4 per cell]
B1 0.0000 0.0000 0.5000 [4 per cell]
Cl1 0.2500 0.2500 0.2500 [8 per cell]



*two*
Entry from the Alexandria database: a geometry-optimized CaBCl2 structure (GGA-PBE).

Cell: 4.0189 4.0189 24.0465 Å, 90.00 90.00 120.00°
Space group R-3m (No. 166, hexagonal axes)
Symmetry-distinct sites (fractional):
Ca1 0.0000 0.0000 0.0000 [3 per cell]
B1 0.0000 0.0000 0.5000 [3 per cell]
Cl1 0.0000 0.0000 0.1085 [6 per cell]



Short version: *one*, *two*, most stable first.



*one*
Entry from the Alexandria database: a geometry-optimized CaBCl2 structure (GGA-PBE).

Cell: 3.9792 3.9792 26.2876 Å, 90.00 90.00 120.00°
Space group R-3m (No. 166, hexagonal axes)
Symmetry-distinct sites (fractional):
Ca1 0.0000 0.0000 0.0000 [3 per cell]
B1 0.0000 0.0000 0.5000 [3 per cell]
Cl1 0.0000 0.0000 0.3893 [6 per cell]



*two*
Entry from the Alexandria database: a geometry-optimized CaBCl2 structure (GGA-PBE).

Cell: 4.8588 4.8588 16.7040 Å, 90.00 90.00 90.00°
Space group I-42d (No. 122)
Symmetry-distinct sites (fractional):
Ca1 0.0000 0.0000 0.0000 [4 per cell]
B1 0.0000 0.0000 0.5000 [4 per cell]
Cl1 0.2431 0.2500 0.6250 [8 per cell]



Short version: *one*, *two*, most stable first.



*one*
Entry from the Alexandria database: a geometry-optimized CaBPCl2 structure (GGA-PBE).

Cell: 5.2116 5.2116 5.9099 Å, 90.00 90.00 90.00°
Space group P4/mmm (No. 123)
Symmetry-distinct sites (fractional):
Ca1 0.0000 0.0000 0.0000 [1 per cell]
B1 0.5000 0.5000 0.5000 [1 per cell]
P1 0.0000 0.0000 0.5000 [1 per cell]
Cl1 0.0000 0.5000 0.0000 [2 per cell]



*two*
Entry from the Alexandria database: a geometry-optimized CaBPCl2 structure (GGA-PBE).

Cell: 5.4397 5.4397 3.5584 Å, 90.00 90.00 90.00°
Space group P4/mmm (No. 123)
Symmetry-distinct sites (fractional):
Ca1 0.0000 0.0000 0.0000 [1 per cell]
B1 0.5000 0.5000 0.5000 [1 per cell]
P1 0.5000 0.5000 0.0000 [1 per cell]
Cl1 0.0000 0.5000 0.5000 [2 per cell]



Short version: *two*, *one*, most stable first.



*one*
Entry from the Alexandria database: a geometry-optimized Ca2BRhCl structure (GGA-PBE).

Cell: 5.3478 5.3478 3.8721 Å, 90.00 90.00 90.00°
Space group P4/mmm (No. 123)
Symmetry-distinct sites (fractional):
Ca1 0.0000 0.5000 0.0000 [2 per cell]
B1 0.0000 0.0000 0.0000 [1 per cell]
Rh1 0.0000 0.0000 0.5000 [1 per cell]
Cl1 0.5000 0.5000 0.5000 [1 per cell]



*two*
Entry from the Alexandria database: a geometry-optimized Ca2BRhCl structure (GGA-PBE).

Cell: 5.4262 5.4262 4.4729 Å, 90.00 90.00 90.00°
Space group P4/mmm (No. 123)
Symmetry-distinct sites (fractional):
Ca1 0.0000 0.5000 0.0000 [2 per cell]
B1 0.0000 0.0000 0.5000 [1 per cell]
Rh1 0.5000 0.5000 0.0000 [1 per cell]
Cl1 0.5000 0.5000 0.5000 [1 per cell]



*three*
Entry from the Alexandria database: a geometry-optimized Ca2BRhCl structure (GGA-PBE).

Cell: 5.4968 5.4968 3.9579 Å, 90.00 90.00 90.00°
Space group P4/mmm (No. 123)
Symmetry-distinct sites (fractional):
Ca1 0.0000 0.5000 0.0000 [2 per cell]
B1 0.0000 0.0000 0.5000 [1 per cell]
Rh1 0.0000 0.0000 0.0000 [1 per cell]
Cl1 0.5000 0.5000 0.5000 [1 per cell]



Short version: *one*, *three*, *two*, most stable first.



*one*
Entry from the Alexandria database: a geometry-optimized CaBSCl2 structure (GGA-PBE).

Cell: 4.4703 4.4703 4.5015 Å, 90.00 90.00 90.00°
Space group P4/mmm (No. 123)
Symmetry-distinct sites (fractional):
Ca1 0.0000 0.0000 0.0000 [1 per cell]
B1 0.5000 0.5000 0.5000 [1 per cell]
S1 0.5000 0.5000 0.0000 [1 per cell]
Cl1 0.0000 0.5000 0.5000 [2 per cell]



*two*
Entry from the Alexandria database: a geometry-optimized CaBSCl2 structure (GGA-PBE).

Cell: 5.2647 5.2647 5.5671 Å, 90.00 90.00 90.00°
Space group P4/mmm (No. 123)
Symmetry-distinct sites (fractional):
Ca1 0.0000 0.0000 0.0000 [1 per cell]
B1 0.5000 0.5000 0.5000 [1 per cell]
S1 0.0000 0.0000 0.5000 [1 per cell]
Cl1 0.0000 0.5000 0.0000 [2 per cell]



Short version: *one*, *two*, most stable first.